Entry 1:
## Ag3HgP (GGA-PBE)

Data for an optimized crystal structure of Ag3HgP. Values from VASP.

Cell and atoms, written as Quantum ESPRESSO input:
```
&SYSTEM
  ibrav = 0, nat = 5, ntyp = 3
/
ATOMIC_SPECIES
Ag 107.87 Ag.upf
Hg 200.59 Hg.upf
P 30.97 P.upf
ATOMIC_POSITIONS crystal
Ag 0.000 0.000 0.500
Ag 0.000 0.500 0.000
Ag 0.500 0.000 0.000
Hg 0.500 0.500 0.500
P 0.000 0.000 0.000
CELL_PARAMETERS angstrom
4.867 0.000 0.000
0.000 4.867 0.000
0.000 0.000 4.867
```

Calculated values
As for the energy of formation: 0.151 eV per atom. As for the energy above the most stable polymorph in this dataset: 0 meV per atom.

---

Entry 2:
## AgHgP (GGA-PBE)

Data for an optimized crystal structure of AgHgP. Values from VASP.

Cell and atoms, written as Quantum ESPRESSO input:
```
&SYSTEM
  ibrav = 0, nat = 6, ntyp = 3
/
ATOMIC_SPECIES
Ag 107.87 Ag.upf
Hg 200.59 Hg.upf
P 30.97 P.upf
ATOMIC_POSITIONS crystal
Ag 0.000 0.000 0.000
Ag 0.024 0.489 0.590
Hg 0.497 0.005 0.439
Hg 0.895 0.506 0.053
P 0.510 0.343 0.282
P 0.516 0.712 0.632
CELL_PARAMETERS angstrom
5.223 0.000 0.000
-1.650 5.700 0.000
-1.156 -3.131 4.931
```

Calculated values
As for the energy of formation: 0.167 eV per atom.

---

Entry 3:
## AgHg3P (GGA-PBE)

Data for an optimized crystal structure of AgHg3P. Values from VASP.

Cell and atoms, written as Quantum ESPRESSO input:
```
&SYSTEM
  ibrav = 0, nat = 5, ntyp = 3
/
ATOMIC_SPECIES
Ag 107.87 Ag.upf
Hg 200.59 Hg.upf
P 30.97 P.upf
ATOMIC_POSITIONS crystal
Ag 0.000 0.000 0.000
Hg 0.000 0.000 0.500
Hg 0.000 0.500 0.000
Hg 0.500 0.000 0.000
P 0.500 0.500 0.500
CELL_PARAMETERS angstrom
5.447 0.000 0.000
0.000 5.447 0.000
0.000 0.000 5.447
```

Calculated values
As for the energy of formation: 0.705 eV per atom. As for the energy above the most stable polymorph in this dataset: 278 meV per atom.

---

Entry 4:
## AgHgP2 (GGA-PBE)

Data for an optimized crystal structure of AgHgP2. Values from VASP.

Cell and atoms, written as Quantum ESPRESSO input:
```
&SYSTEM
  ibrav = 0, nat = 4, ntyp = 3
/
ATOMIC_SPECIES
Ag 107.87 Ag.upf
Hg 200.59 Hg.upf
P 30.97 P.upf
ATOMIC_POSITIONS crystal
Ag 0.000 0.000 0.000
Hg 0.500 0.500 0.500
P 0.265 0.265 0.265
P 0.735 0.735 0.735
CELL_PARAMETERS angstrom
1.478 0.853 10.280
-1.478 0.853 10.280
0.000 -1.707 10.280
```

Calculated values
As for the energy of formation: 0.586 eV per atom.

---

Entry 5:
## AgHgP (GGA-PBE)

Data for an optimized crystal structure of AgHgP. Values from VASP.

Cell and atoms, written as Quantum ESPRESSO input:
```
&SYSTEM
  ibrav = 0, nat = 6, ntyp = 3
/
ATOMIC_SPECIES
Ag 107.87 Ag.upf
Hg 200.59 Hg.upf
P 30.97 P.upf
ATOMIC_POSITIONS crystal
Ag 0.000 0.000 0.000
Ag 0.339 0.898 0.680
Hg 0.378 0.415 0.768
Hg 0.667 0.446 0.336
P 0.590 0.030 0.181
P 0.746 0.860 0.495
CELL_PARAMETERS angstrom
4.517 0.000 0.000
-0.019 5.921 0.000
-2.246 -0.980 5.683
```

Calculated values
As for the energy of formation: 0.127 eV per atom.

---

Entry 6:
## AgHg2P2 (GGA-PBE)

Data for an optimized crystal structure of AgHg2P2. Values from VASP.

Cell and atoms, written as Quantum ESPRESSO input:
```
&SYSTEM
  ibrav = 0, nat = 10, ntyp = 3
/
ATOMIC_SPECIES
Ag 107.87 Ag.upf
Hg 200.59 Hg.upf
P 30.97 P.upf
ATOMIC_POSITIONS crystal
Ag 0.000 0.000 0.000
Ag 0.500 0.500 0.000
Hg 0.140 0.360 0.500
Hg 0.360 0.860 0.500
Hg 0.640 0.140 0.500
Hg 0.860 0.640 0.500
P 0.191 0.691 0.000
P 0.309 0.191 0.000
P 0.691 0.809 0.000
P 0.809 0.309 0.000
CELL_PARAMETERS angstrom
7.243 0.000 0.000
0.000 7.243 0.000
0.000 0.000 4.025
```

Calculated values
As for the energy of formation: 0.445 eV per atom. As for the energy above the most stable polymorph in this dataset: 178 meV per atom.

---

Entry 7:
## AgHg3P (GGA-PBE)

Data for an optimized crystal structure of AgHg3P. Values from VASP.

Cell and atoms, written as Quantum ESPRESSO input:
```
&SYSTEM
  ibrav = 0, nat = 5, ntyp = 3
/
ATOMIC_SPECIES
Ag 107.87 Ag.upf
Hg 200.59 Hg.upf
P 30.97 P.upf
ATOMIC_POSITIONS crystal
Ag 0.000 0.000 0.000
Hg 0.000 0.500 0.500
Hg 0.500 0.000 0.500
Hg 0.500 0.500 0.000
P 0.500 0.500 0.500
CELL_PARAMETERS angstrom
5.160 0.000 0.000
0.000 5.160 0.000
0.000 0.000 5.160
```

Calculated values
As for the energy of formation: 0.428 eV per atom. As for the energy above the most stable polymorph in this dataset: 0 meV per atom.

---

Entry 8:
## AgHg2P2 (GGA-PBE)

Data for an optimized crystal structure of AgHg2P2. Values from VASP.

Cell and atoms, written as Quantum ESPRESSO input:
```
&SYSTEM
  ibrav = 0, nat = 5, ntyp = 3
/
ATOMIC_SPECIES
Ag 107.87 Ag.upf
Hg 200.59 Hg.upf
P 30.97 P.upf
ATOMIC_POSITIONS crystal
Ag 0.000 0.000 0.000
Hg 0.398 0.398 0.000
Hg 0.602 0.602 0.000
P 0.250 0.750 0.500
P 0.750 0.250 0.500
CELL_PARAMETERS angstrom
-1.650 1.650 9.350
1.650 -1.650 9.350
1.650 1.650 -9.350
```

Calculated values
As for the energy of formation: 0.266 eV per atom. As for the energy above the most stable polymorph in this dataset: 0 meV per atom.

---

Entry 9:
## AgHgP2 (GGA-PBE)

Data for an optimized crystal structure of AgHgP2. Values from VASP.

Cell and atoms, written as Quantum ESPRESSO input:
```
&SYSTEM
  ibrav = 0, nat = 4, ntyp = 3
/
ATOMIC_SPECIES
Ag 107.87 Ag.upf
Hg 200.59 Hg.upf
P 30.97 P.upf
ATOMIC_POSITIONS crystal
Ag 0.000 0.000 0.000
Hg 0.500 0.000 0.500
P 0.492 0.500 0.853
P 0.508 0.500 0.147
CELL_PARAMETERS angstrom
2.807 0.000 0.000
0.000 4.316 0.000
-0.141 0.000 7.490
```

Calculated values
As for the energy of formation: 0.357 eV per atom.

---

Entry 10:
## AgHgP2 (GGA-PBE)

Data for an optimized crystal structure of AgHgP2. Values from VASP.

Cell and atoms, written as Quantum ESPRESSO input:
```
&SYSTEM
  ibrav = 0, nat = 4, ntyp = 3
/
ATOMIC_SPECIES
Ag 107.87 Ag.upf
Hg 200.59 Hg.upf
P 30.97 P.upf
ATOMIC_POSITIONS crystal
Ag 0.000 0.000 0.000
Hg 0.627 0.500 0.257
P 0.772 0.000 0.555
P 0.859 0.500 0.739
CELL_PARAMETERS angstrom
2.772 0.000 0.000
0.000 3.375 0.000
-1.333 0.000 8.257
```

Calculated values
As for the energy of formation: 0.236 eV per atom.

---

Entry 11:
## AgHgP2 (GGA-PBE)

Data for an optimized crystal structure of AgHgP2. Values from VASP.

Cell and atoms, written as Quantum ESPRESSO input:
```
&SYSTEM
  ibrav = 0, nat = 4, ntyp = 3
/
ATOMIC_SPECIES
Ag 107.87 Ag.upf
Hg 200.59 Hg.upf
P 30.97 P.upf
ATOMIC_POSITIONS crystal
Ag 0.000 0.000 0.000
Hg 0.250 0.750 0.500
P 0.500 0.500 0.000
P 0.750 0.250 0.500
CELL_PARAMETERS angstrom
-2.115 2.115 4.151
2.115 -2.115 4.151
2.115 2.115 -4.151
```

Calculated values
As for the energy of formation: 0.627 eV per atom.

---

Entry 12:
## AgHgP2 (GGA-PBE)

Data for an optimized crystal structure of AgHgP2. Values from VASP.

Cell and atoms, written as Quantum ESPRESSO input:
```
&SYSTEM
  ibrav = 0, nat = 4, ntyp = 3
/
ATOMIC_SPECIES
Ag 107.87 Ag.upf
Hg 200.59 Hg.upf
P 30.97 P.upf
ATOMIC_POSITIONS crystal
Ag 0.000 0.000 0.000
Hg 0.500 0.500 0.000
P 0.000 0.500 0.500
P 0.500 0.000 0.500
CELL_PARAMETERS angstrom
3.851 0.000 0.000
0.000 3.851 0.000
0.000 0.000 5.091
```

Calculated values
As for the energy of formation: 0.601 eV per atom.

---

Entry 13:
## Rb2AgHgP (GGA-PBE)

Data for an optimized crystal structure of Rb2AgHgP. Values from VASP.

Cell and atoms, written as Quantum ESPRESSO input:
```
&SYSTEM
  ibrav = 0, nat = 5, ntyp = 4
/
ATOMIC_SPECIES
Rb 85.47 Rb.upf
Ag 107.87 Ag.upf
Hg 200.59 Hg.upf
P 30.97 P.upf
ATOMIC_POSITIONS crystal
Rb 0.000 0.500 0.000
Rb 0.500 0.000 0.000
Ag 0.000 0.000 0.500
Hg 0.500 0.500 0.500
P 0.000 0.000 0.000
CELL_PARAMETERS angstrom
6.676 0.000 0.000
0.000 6.676 0.000
0.000 0.000 4.701
```

Calculated values
As for the energy of formation: -0.130 eV per atom.

---

Entry 14:
## AgHgPS2 (GGA-PBE)

Data for an optimized crystal structure of AgHgPS2. Values from VASP.

Cell and atoms, written as Quantum ESPRESSO input:
```
&SYSTEM
  ibrav = 0, nat = 5, ntyp = 4
/
ATOMIC_SPECIES
Ag 107.87 Ag.upf
Hg 200.59 Hg.upf
P 30.97 P.upf
S 32.06 S.upf
ATOMIC_POSITIONS crystal
Ag 0.000 0.000 0.000
Hg 0.500 0.500 0.500
P 0.500 0.500 0.000
S 0.000 0.500 0.500
S 0.500 0.000 0.500
CELL_PARAMETERS angstrom
5.094 0.000 0.000
0.000 5.094 0.000
0.000 0.000 4.964
```

Calculated values
As for the energy above the most stable polymorph in this dataset: 179 meV per atom. As for the raw formation energy: 1107.5 meV per atom.

---

| no. | total moment (Bohr magnetons per cell) |
| --- | --- |
| 1 | 0.00 |
| 2 | 0.00 |
| 3 | 2.35 |
| 4 | 0.00 |
| 5 | 0.00 |
| 6 | 0.00 |
| 7 | 0.00 |
| 8 | 0.00 |
| 9 | 0.00 |
| 10 | 0.00 |
| 11 | 0.00 |
| 12 | 0.00 |
| 13 | 0.00 |
| 14 | 1.53 |